SrTlFe2Au | GGA-PBE | optimized geometry

Geometry as POSCAR:
```
SrTlFe2Au
1.0
4.954 0.000 0.000
0.000 5.742 0.000
0.000 0.000 4.954
Fe Sr Au Tl
2 1 1 1
Cartesian
2.477 0.000 0.000 Fe
0.000 0.000 2.477 Fe
0.000 2.871 0.000 Sr
0.000 0.000 0.000 Au
2.477 2.871 2.477 Tl
```

Output
E_form = 0.67 eV per atom
calculated total energy = -20.902 eV per cell
D(E_F) = 1.483 states/eV/atom

SrZrFeAu2 | GGA-PBE | optimized geometry

Geometry as POSCAR:
```
SrZrFeAu2
1.0
-2.396 -4.071 -2.340
-1.790 -1.751 4.879
-4.369 2.895 -0.564
Fe Zr Sr Au
1 1 1 2
Cartesian
-4.277 -1.463 0.988 Fe
-0.895 -0.875 2.439 Zr
0.000 0.000 0.000 Sr
-2.185 1.448 -0.282 Au
-1.198 -2.036 -1.170 Au
```

Output
E_form = 2.03 eV per atom
calculated total energy = -15.094 eV per cell
energy above the lowest structure with this stoichiometry = 911 meV/atom
D(E_F) = 1.971 states/eV/atom